This record from Alexandria via LeMat-Bulk describes NaCeAs2 after structural relaxation. The functional is PBE.

The structure in POSCAR format:
```
NaCeAs2
1.0
4.369 0.000 0.000
2.185 3.784 0.000
2.185 1.261 6.318
Ce As Na
1 2 1
Direct
0.670 0.670 0.990 Ce
0.083 0.083 0.752 As
0.254 0.254 0.238 As
0.493 0.493 0.520 Na
```

excess energy over the best structure of this formula in the dataset: 68 meV per atom